# 1
DFT (GGA-PBE) results for a relaxed Mn2NiB2Rh5 crystal. Values from VASP.

Computed properties:
Total energy: -153.338 eV/cell
Formation energy: -0.2436 eV per atom
Size of the total moment: 10.64 μB per formula unit

Geometry as Quantum ESPRESSO input:
```
&SYSTEM
  ibrav = 0, nat = 20, ntyp = 4
/
ATOMIC_SPECIES
Mn 54.94 Mn.upf
Ni 58.69 Ni.upf
B 10.81 B.upf
Rh 102.91 Rh.upf
CELL_PARAMETERS angstrom
9.2977 0.0000 0.0000
0.0000 9.2977 0.0000
0.0000 0.0000 2.9118
ATOMIC_POSITIONS crystal
Mn 0.1776 0.3224 0.0000
Mn 0.3224 0.8224 0.0000
Mn 0.6776 0.1776 0.0000
Mn 0.8224 0.6776 0.0000
Ni 0.0000 0.0000 0.0000
Ni 0.5000 0.5000 0.0000
B 0.1281 0.6281 0.0000
B 0.3719 0.1281 0.0000
B 0.6281 0.8719 0.0000
B 0.8719 0.3719 0.0000
Rh 0.0000 0.5000 0.5000
Rh 0.0703 0.7858 0.5000
Rh 0.2142 0.0703 0.5000
Rh 0.2858 0.5703 0.5000
Rh 0.4297 0.2858 0.5000
Rh 0.5000 0.0000 0.5000
Rh 0.5703 0.7142 0.5000
Rh 0.7142 0.4297 0.5000
Rh 0.7858 0.9297 0.5000
Rh 0.9297 0.2142 0.5000
```

# 2
DFT (GGA-PBE) results for a relaxed MnNiBRh2 crystal. Values from VASP.

Computed properties:
Total energy: -37.110 eV/cell
Formation energy: -0.1558 eV per atom
Size of the total moment: 4.99 μB per formula unit

Geometry as Quantum ESPRESSO input:
```
&SYSTEM
  ibrav = 0, nat = 5, ntyp = 4
/
ATOMIC_SPECIES
Mn 54.94 Mn.upf
Ni 58.69 Ni.upf
B 10.81 B.upf
Rh 102.91 Rh.upf
CELL_PARAMETERS angstrom
4.0863 0.0000 0.0000
0.0000 4.0863 0.0000
0.0000 0.0000 3.8445
ATOMIC_POSITIONS crystal
Mn 0.0000 0.0000 0.0000
Ni 0.5000 0.5000 0.0000
B 0.5000 0.5000 0.5000
Rh 0.0000 0.5000 0.5000
Rh 0.5000 0.0000 0.5000
```

# 3
DFT (GGA-PBE) results for a relaxed Th2MnNi12B3 crystal. Values from VASP.

Computed properties:
Total energy: -115.004 eV/cell
Formation energy: -0.0882 eV per atom
Size of the total moment: 4.42 μB per formula unit

Geometry as Quantum ESPRESSO input:
```
&SYSTEM
  ibrav = 0, nat = 18, ntyp = 4
/
ATOMIC_SPECIES
Th 232.04 Th.upf
Mn 54.94 Mn.upf
Ni 58.69 Ni.upf
B 10.81 B.upf
CELL_PARAMETERS angstrom
3.6088 2.0836 5.3573
-3.6088 2.0836 5.3573
0.0000 -4.1671 5.3573
ATOMIC_POSITIONS crystal
Th 0.1031 0.1031 0.1031
Th 0.8969 0.8969 0.8969
Mn 0.5000 0.5000 0.5000
Ni 0.0927 0.6334 0.6334
Ni 0.2224 0.2224 0.6201
Ni 0.2224 0.6201 0.2224
Ni 0.3666 0.3666 0.9073
Ni 0.3666 0.9073 0.3666
Ni 0.3799 0.7776 0.7776
Ni 0.6201 0.2224 0.2224
Ni 0.6334 0.0927 0.6334
Ni 0.6334 0.6334 0.0927
Ni 0.7776 0.3799 0.7776
Ni 0.7776 0.7776 0.3799
Ni 0.9073 0.3666 0.3666
B 0.0000 0.5000 0.5000
B 0.5000 0.0000 0.5000
B 0.5000 0.5000 0.0000
```

# 4
DFT (GGA-PBE) results for a relaxed NpMnB4 crystal. Values from VASP.

Computed properties:
Total energy: -207.511 eV/cell
Formation energy: -0.5096 eV per atom
E above lowest polymorph: 0 meV per atom
Size of the total moment: 2.62 μB per formula unit

Geometry as Quantum ESPRESSO input:
```
&SYSTEM
  ibrav = 0, nat = 24, ntyp = 3
/
ATOMIC_SPECIES
Np 237.00 Np.upf
Mn 54.94 Mn.upf
B 10.81 B.upf
CELL_PARAMETERS angstrom
5.8958 0.0000 0.0000
0.0000 11.4172 0.0000
0.0000 0.0000 3.3736
ATOMIC_POSITIONS crystal
Np 0.1255 0.1505 0.0000
Np 0.3745 0.6505 0.0000
Np 0.6255 0.3495 0.0000
Np 0.8745 0.8495 0.0000
Mn 0.1321 0.4113 0.0000
Mn 0.3679 0.9113 0.0000
Mn 0.6321 0.0887 0.0000
Mn 0.8679 0.5887 0.0000
B 0.0259 0.6907 0.5000
B 0.1130 0.5459 0.5000
B 0.1372 0.9669 0.5000
B 0.2179 0.8146 0.5000
B 0.2821 0.3146 0.5000
B 0.3628 0.4669 0.5000
B 0.3870 0.0459 0.5000
B 0.4741 0.1907 0.5000
B 0.5259 0.8093 0.5000
B 0.6130 0.9541 0.5000
B 0.6372 0.5331 0.5000
B 0.7179 0.6854 0.5000
B 0.7821 0.1854 0.5000
B 0.8628 0.0331 0.5000
B 0.8870 0.4541 0.5000
B 0.9741 0.3093 0.5000
```

# 5
DFT (GGA-PBE) results for a relaxed NpMnB2 crystal. Values from VASP.

Computed properties:
Total energy: -104.358 eV/cell
Formation energy: 0.1698 eV per atom
Size of the total moment: 1.39 μB per formula unit

Geometry as Quantum ESPRESSO input:
```
&SYSTEM
  ibrav = 0, nat = 12, ntyp = 3
/
ATOMIC_SPECIES
Np 237.00 Np.upf
Mn 54.94 Mn.upf
B 10.81 B.upf
CELL_PARAMETERS angstrom
3.1355 0.0000 0.0000
-1.5678 2.7155 0.0000
0.0000 0.0000 16.6353
ATOMIC_POSITIONS crystal
Np 0.0000 0.0000 0.0000
Np 0.3333 0.6667 0.6667
Np 0.6667 0.3333 0.3333
Mn 0.0000 0.0000 0.5000
Mn 0.3333 0.6667 0.1667
Mn 0.6667 0.3333 0.8333
B 0.0000 0.0000 0.2273
B 0.0000 0.0000 0.7727
B 0.3333 0.6667 0.4394
B 0.3333 0.6667 0.8940
B 0.6667 0.3333 0.1060
B 0.6667 0.3333 0.5606
```

# 6
DFT (GGA-PBE) results for a relaxed NpMnB4 crystal. Values from VASP.

Computed properties:
Total energy: -45.159 eV/cell
Formation energy: 0.6102 eV per atom
E above lowest polymorph: 1120 meV per atom
Size of the total moment: 0.91 μB per formula unit

Geometry as Quantum ESPRESSO input:
```
&SYSTEM
  ibrav = 0, nat = 6, ntyp = 3
/
ATOMIC_SPECIES
Np 237.00 Np.upf
Mn 54.94 Mn.upf
B 10.81 B.upf
CELL_PARAMETERS angstrom
0.0000 3.0877 3.0877
3.0877 0.0000 3.0877
3.0877 3.0877 0.0000
ATOMIC_POSITIONS crystal
Np 0.0000 0.0000 0.0000
Mn 0.7500 0.7500 0.7500
B 0.3985 0.3985 0.3985
B 0.3985 0.3985 0.8044
B 0.3985 0.8044 0.3985
B 0.8044 0.3985 0.3985
```

Which of these has the lowest size of the total moment? number 6